Here is Tb2AgTeS3 after structural relaxation from Alexandria. Energies are from PBE-GGA.

```
Tb2AgTeS3
1.0
-0.569 -1.195 8.045
2.439 -7.064 3.260
6.744 -0.273 4.574
Tb Ag Te S
4 2 2 6
direct
0.000 0.000 0.000
0.500 0.000 0.000
0.000 0.500 0.000
0.000 0.000 0.500
0.406 0.406 0.406
0.594 0.594 0.594
0.735 0.735 0.735
0.265 0.265 0.265
0.215 0.759 0.759
0.759 0.215 0.759
0.759 0.759 0.215
0.785 0.241 0.241
0.241 0.785 0.241
0.241 0.241 0.785
```

Results
The density comes out at 5.63 g/cm³. As for the uncorrected formation energy: -1.281 eV/atom. The value obtained for the density of states at the Fermi level is 8.59 states/eV/cell.